i) # La3InIr PBE-GGA optimized geometry
# Size of the total moment = 0.002 μB per atom
# Theoretical density = 7.72 Mg/m³
data_La3InIr
_chemical_formula_sum 'La6 In2 Ir2'
_cell_length_a 5.970
_cell_length_b 7.627
_cell_length_c 7.275
_cell_angle_alpha 90.00
_cell_angle_beta 109.89
_cell_angle_gamma 90.00
_symmetry_space_group_name_H-M 'P 1 21/m 1'
_symmetry_Int_Tables_number 11
loop_
_symmetry_equiv_pos_as_xyz
'x,y,z'
'-x,-y,-z'
'-x,y+1/2,-z'
'x,-y+1/2,z'
loop_
_atom_site_label
_atom_site_type_symbol
_atom_site_fract_x
_atom_site_fract_y
_atom_site_fract_z
La1 La 0.146 0.250 0.142
La2 La 0.313 0.018 0.713
In1 In 0.207 0.750 0.316
Ir1 Ir 0.383 0.750 0.988

=====

ii) # La3InIr PBE-GGA optimized geometry
# Size of the total moment = 0.000 μB per atom
# Theoretical density = 7.80 Mg/m³
data_La3InIr
_chemical_formula_sum 'La12 In4 Ir4'
_cell_length_a 7.681
_cell_length_b 9.086
_cell_length_c 8.833
_cell_angle_alpha 90.00
_cell_angle_beta 90.00
_cell_angle_gamma 90.00
_symmetry_space_group_name_H-M 'C m m m'
_symmetry_Int_Tables_number 65
_symmetry_space_group_name_Hall '-C 2 2'
loop_
_atom_site_label
_atom_site_type_symbol
_atom_site_fract_x
_atom_site_fract_y
_atom_site_fract_z
La1 La 0.000 0.215 0.000
La2 La 0.236 0.500 0.312
In1 In 0.000 0.240 0.500
Ir1 Ir 0.194 0.500 0.000

=====

Which of them is the least stable? Correct choice: i).

=====

i) # MgInIr2 PBE-GGA optimized geometry
# Size of the total moment = 0.000 μB per atom
# Theoretical density = 13.45 Mg/m³
data_MgInIr2
_chemical_formula_sum 'Mg4 In4 Ir8'
_cell_length_a 6.371
_cell_length_b 6.371
_cell_length_c 6.371
_cell_angle_alpha 90.00
_cell_angle_beta 90.00
_cell_angle_gamma 90.00
_symmetry_space_group_name_H-M 'F m -3 m'
_symmetry_Int_Tables_number 225
_symmetry_space_group_name_Hall '-F 4 2 3'
loop_
_atom_site_label
_atom_site_type_symbol
_atom_site_fract_x
_atom_site_fract_y
_atom_site_fract_z
Mg1 Mg 0.000 0.000 0.000
In1 In 0.000 0.000 0.500
Ir1 Ir 0.250 0.250 0.250

=====

ii) # MgInIr2 PBE-GGA optimized geometry
# Size of the total moment = 0.042 μB per atom
# Theoretical density = 12.23 Mg/m³
data_MgInIr2
_chemical_formula_sum 'Mg2 In2 Ir4'
_cell_length_a 4.4950
_cell_length_b 4.4950
_cell_length_c 8.1232
_cell_angle_alpha 90.00
_cell_angle_beta 90.00
_cell_angle_gamma 120.00
_symmetry_space_group_name_H-M 'P 63/m m c'
_symmetry_Int_Tables_number 194
_symmetry_space_group_name_Hall '-P 6c 2c'
loop_
_atom_site_label
_atom_site_type_symbol
_atom_site_fract_x
_atom_site_fract_y
_atom_site_fract_z
Mg1 Mg 0.0000 0.0000 0.0000
In1 In 0.3333 0.6667 0.2500
Ir1 Ir 0.3333 0.6667 0.5962

=====

Which of them is the least stable? Correct choice: ii).

=====

i) # InIrNO PBE-GGA optimized geometry
# Size of the total moment = 0.001 μB per atom
# Theoretical density = 11.49 Mg/m³
data_InIrNO
_chemical_formula_sum 'In2 Ir2 N2 O2'
_cell_length_a 4.422
_cell_length_b 4.422
_cell_length_c 4.985
_cell_angle_alpha 90.00
_cell_angle_beta 90.00
_cell_angle_gamma 90.00
_symmetry_space_group_name_H-M 'P 4/n m m'
_symmetry_Int_Tables_number 129
loop_
_symmetry_equiv_pos_as_xyz
'x,y,z'
'-x,-y,-z'
'-y+1/2,x,z'
'y+1/2,-x,-z'
'-x+1/2,-y+1/2,z'
'x+1/2,y+1/2,-z'
'y,-x+1/2,z'
'-y,x+1/2,-z'
'x+1/2,-y,-z'
'-x+1/2,y,z'
'-y,-x,-z'
'y,x,z'
'-x,y+1/2,-z'
'x,-y+1/2,z'
'y+1/2,x+1/2,-z'
'-y+1/2,-x+1/2,z'
loop_
_atom_site_label
_atom_site_type_symbol
_atom_site_fract_x
_atom_site_fract_y
_atom_site_fract_z
In1 In 0.250 0.750 0.000
Ir1 Ir 0.250 0.250 0.455
N1 N 0.250 0.250 0.866
O1 O 0.250 0.750 0.500

=====

ii) # InIrNO PBE-GGA optimized geometry
# Size of the total moment = 0.000 μB per atom
# Theoretical density = 10.71 Mg/m³
data_InIrNO
_chemical_formula_sum 'In2 Ir2 N2 O2'
_cell_length_a 2.883
_cell_length_b 6.800
_cell_length_c 5.329
_cell_angle_alpha 90.00
_cell_angle_beta 90.00
_cell_angle_gamma 90.00
_symmetry_space_group_name_H-M 'P m c 21'
_symmetry_Int_Tables_number 26
loop_
_symmetry_equiv_pos_as_xyz
'x,y,z'
'-x,-y,z+1/2'
'-x,y,z'
'x,-y,z+1/2'
loop_
_atom_site_label
_atom_site_type_symbol
_atom_site_fract_x
_atom_site_fract_y
_atom_site_fract_z
In1 In 0.000 0.202 0.000
Ir1 Ir 0.500 0.298 0.568
N1 N 0.000 0.127 0.419
O1 O 0.500 0.428 0.189

=====

iii) # InIrNO PBE-GGA optimized geometry
# Size of the total moment = 0.042 μB per atom
# Theoretical density = 10.07 Mg/m³
data_InIrNO
_chemical_formula_sum 'In2 Ir2 N2 O2'
_cell_length_a 3.629
_cell_length_b 5.766
_cell_length_c 5.312
_cell_angle_alpha 90.00
_cell_angle_beta 90.00
_cell_angle_gamma 90.00
_symmetry_space_group_name_H-M 'P m c 21'
_symmetry_Int_Tables_number 26
loop_
_symmetry_equiv_pos_as_xyz
'x,y,z'
'-x,-y,z+1/2'
'-x,y,z'
'x,-y,z+1/2'
loop_
_atom_site_label
_atom_site_type_symbol
_atom_site_fract_x
_atom_site_fract_y
_atom_site_fract_z
In1 In 0.000 0.195 0.000
Ir1 Ir 0.500 0.414 0.453
N1 N 0.500 0.275 0.785
O1 O 0.000 0.169 0.401

=====

Which of them is the least stable? Correct choice: i).

=====

i) # NaInSbIr PBE-GGA optimized geometry
# Size of the total moment = 0.001 μB per atom
# Theoretical density = 9.08 Mg/m³
data_NaInSbIr
_chemical_formula_sum 'Na4 In4 Sb4 Ir4'
_cell_length_a 6.915
_cell_length_b 6.915
_cell_length_c 6.915
_cell_angle_alpha 90.00
_cell_angle_beta 90.00
_cell_angle_gamma 90.00
_symmetry_space_group_name_H-M 'F -4 3 m'
_symmetry_Int_Tables_number 216
_symmetry_space_group_name_Hall 'F -4 2 3'
loop_
_atom_site_label
_atom_site_type_symbol
_atom_site_fract_x
_atom_site_fract_y
_atom_site_fract_z
Na1 Na 0.000 0.000 0.000
In1 In 0.250 0.250 0.250
Sb1 Sb 0.000 0.000 0.500
Ir1 Ir 0.250 0.250 0.750

=====

ii) # NaInSbIr PBE-GGA optimized geometry
# Size of the total moment = 0.001 μB per atom
# Theoretical density = 9.06 Mg/m³
data_NaInSbIr
_chemical_formula_sum 'Na4 In4 Sb4 Ir4'
_cell_length_a 6.918
_cell_length_b 6.918
_cell_length_c 6.918
_cell_angle_alpha 90.00
_cell_angle_beta 90.00
_cell_angle_gamma 90.00
_symmetry_space_group_name_H-M 'F -4 3 m'
_symmetry_Int_Tables_number 216
_symmetry_space_group_name_Hall 'F -4 2 3'
loop_
_atom_site_label
_atom_site_type_symbol
_atom_site_fract_x
_atom_site_fract_y
_atom_site_fract_z
Na1 Na 0.000 0.000 0.000
In1 In 0.000 0.000 0.500
Sb1 Sb 0.250 0.250 0.250
Ir1 Ir 0.250 0.250 0.750

=====

iii) # NaInSbIr PBE-GGA optimized geometry
# Size of the total moment = 0.000 μB per atom
# Theoretical density = 9.69 Mg/m³
data_NaInSbIr
_chemical_formula_sum 'Na4 In4 Sb4 Ir4'
_cell_length_a 6.765
_cell_length_b 6.765
_cell_length_c 6.765
_cell_angle_alpha 90.00
_cell_angle_beta 90.00
_cell_angle_gamma 90.00
_symmetry_space_group_name_H-M 'F -4 3 m'
_symmetry_Int_Tables_number 216
_symmetry_space_group_name_Hall 'F -4 2 3'
loop_
_atom_site_label
_atom_site_type_symbol
_atom_site_fract_x
_atom_site_fract_y
_atom_site_fract_z
Na1 Na 0.000 0.000 0.000
In1 In 0.250 0.250 0.750
Sb1 Sb 0.250 0.250 0.250
Ir1 Ir 0.000 0.000 0.500

=====

Which of them is the least stable? Correct choice: ii).